# 1
4
Lattice="-0.590 -3.156 1.229 0.396 -1.303 -3.156 7.120 -0.847 1.243" Properties=species:S:1:pos:R:3 comment="CeTmPt2 PBE optimized geometry" ef_kj_per_mol_atoms=-108.8 pbc="T T T"
Tm -0.097 -2.230 -0.964
Ce 3.463 -2.653 -0.342
Pt 5.467 -0.650 0.954
Pt 1.653 -0.197 0.289

***

# 2
20
Lattice="7.605 0.000 -0.053 0.000 8.365 0.000 -0.134 0.000 11.478" Properties=species:S:1:pos:R:3 comment="PaTe6Pb3 PBE optimized geometry" raw_formation_energy_ev_per_atom=-0.414 pbc="T T T"
Pa 3.735 4.182 5.712
Pa 0.000 0.000 0.000
Te 5.005 1.444 10.578
Te 4.873 1.531 6.557
Te 4.956 3.831 2.988
Te 2.515 4.534 8.437
Te 2.598 6.834 4.868
Te 2.466 6.921 0.847
Te 1.269 2.739 4.865
Te 1.138 2.651 0.844
Te 1.086 0.351 8.754
Te 6.385 8.013 2.671
Te 6.333 5.713 10.581
Te 6.202 5.626 6.560
Pb 4.247 7.227 8.562
Pb 3.803 4.182 -0.027
Pb 3.224 1.137 2.863
Pb 0.512 5.320 2.850
Pb -0.067 0.000 5.739
Pb 6.959 3.045 8.575

***

# 3
4
Lattice="-2.273 3.191 -0.363 -2.285 1.139 2.994 3.806 5.522 3.389" Properties=species:S:1:pos:R:3 comment="Er2AgP PBE optimized geometry" ef_kj_per_mol_atoms=-79.6 pbc="T T T"
P 0.000 0.000 0.000
Ag -0.376 4.926 3.010
Er -0.364 2.328 1.422
Er -0.387 7.524 4.598

***

# 4
5
Lattice="5.363 0.000 0.000 0.000 5.060 0.000 0.000 0.000 5.363" Properties=species:S:1:pos:R:3 comment="Ca2MgGaRu PBE optimized geometry" ef_kj_per_mol_atoms=23.2 pbc="T T T"
Ru 0.000 0.000 0.000
Ca 0.000 0.000 2.681
Ca 2.681 0.000 0.000
Mg 0.000 2.530 0.000
Ga 2.681 2.530 2.681

***

# 5
14
Lattice="9.071 0.000 0.000 4.536 7.856 0.000 4.536 2.619 5.882" Properties=species:S:1:pos:R:3 comment="Pm3Se3I PBE optimized geometry" raw_formation_energy_ev_per_atom=-1.614 pbc="T T T"
Pm 6.174 5.074 1.431
Pm 10.661 2.810 1.431
Pm 10.379 7.828 1.431
Pm 7.764 2.647 4.451
Pm 7.481 7.665 4.451
Pm 11.969 5.400 4.451
Se 10.394 8.138 4.329
Se 10.922 2.642 4.329
Se 5.898 4.932 4.329
Se 12.245 5.543 1.553
Se 7.220 7.833 1.553
Se 7.749 2.336 1.553
I 4.536 2.619 0.093
I 13.607 7.856 5.789

***

# 6
11
Lattice="-3.169 -1.271 0.639 3.925 -10.468 -1.352 0.135 4.791 10.190" Properties=species:S:1:pos:R:3 comment="Nd3Sm5Er3 PBE optimized geometry" ef_kj_per_mol_atoms=31.0 de_polymorph_mev_per_atom=0.0 pbc="T T T"
Nd 1.090 -4.375 6.142
Nd -1.538 0.999 3.796
Nd -0.245 -4.207 -0.142
Sm -0.186 -0.931 6.662
Sm 1.077 -6.017 2.815
Sm -0.931 -1.549 1.743
Sm -1.471 3.384 8.869
Sm 1.708 -9.418 -0.815
Er 1.649 -2.307 3.591
Er 2.330 -6.215 -0.803
Er 0.080 2.844 6.050

***

Number 1: M_tot 0.67 μB per cell. Number 2: M_tot 0.00 μB per cell. Number 3: M_tot 0.00 μB per cell. Number 4: M_tot 0.00 μB per cell. Number 5: M_tot 0.00 μB per cell. Number 6: M_tot 0.00 μB per cell.